#1
Material: Dy8Ho3Th2
Method: DFT, GGA-PBE
State: optimized geometry

a b c (Å): 10.991 10.991 5.637
angles (deg): 90.02 90.02 39.11
Sites, in units of the cell vectors:
Dy: 0.109 0.674 0.000
Dy: 0.166 0.166 0.500
Dy: 0.326 0.891 0.000
Dy: 0.361 0.361 0.501
Dy: 0.639 0.639 0.499
Dy: 0.674 0.109 0.000
Dy: 0.834 0.834 0.500
Dy: 0.891 0.326 0.000
Ho: 0.226 0.774 0.500
Ho: 0.500 0.500 0.000
Ho: 0.774 0.226 0.500
Th: 0.255 0.255 0.001
Th: 0.745 0.745 0.999


#2
Material: Dy8Ho3Th2
Method: DFT, GGA-PBE
State: optimized geometry

a b c (Å): 6.126 7.634 18.555
angles (deg): 86.06 81.03 77.45
Sites, in units of the cell vectors:
Dy: 0.001 0.020 0.322
Dy: 0.112 0.556 0.076
Dy: 0.114 0.532 0.739
Dy: 0.231 0.095 0.815
Dy: 0.334 0.659 0.888
Dy: 0.368 0.648 0.561
Dy: 0.446 0.217 0.963
Dy: 0.449 0.178 0.614
Dy: 0.551 0.822 0.386
Dy: 0.554 0.783 0.037
Dy: 0.632 0.352 0.439
Dy: 0.666 0.341 0.112
Dy: 0.769 0.905 0.185
Dy: 0.886 0.468 0.261
Dy: 0.888 0.444 0.924
Dy: 0.999 0.980 0.678
Ho: 0.000 0.000 0.000
Ho: 0.000 0.000 0.500
Ho: 0.333 0.685 0.226
Ho: 0.431 0.244 0.290
Ho: 0.569 0.756 0.710
Ho: 0.667 0.315 0.774
Th: 0.090 0.568 0.414
Th: 0.221 0.120 0.147
Th: 0.779 0.880 0.853
Th: 0.910 0.432 0.586


So which one wins? Going from most stable to least: #2, #1.


#1
Material: Dy6Ho12Th
Method: DFT, GGA-PBE
State: optimized geometry

a b c (Å): 8.665 8.665 8.665
angles (deg): 99.81 99.81 99.81
Sites, in units of the cell vectors:
Dy: 0.164 0.606 0.606
Dy: 0.394 0.394 0.836
Dy: 0.394 0.836 0.394
Dy: 0.606 0.164 0.606
Dy: 0.606 0.606 0.164
Dy: 0.836 0.394 0.394
Ho: 0.000 0.256 0.744
Ho: 0.000 0.744 0.256
Ho: 0.153 0.153 0.423
Ho: 0.153 0.423 0.153
Ho: 0.256 0.000 0.744
Ho: 0.256 0.744 0.000
Ho: 0.423 0.153 0.153
Ho: 0.577 0.847 0.847
Ho: 0.744 0.000 0.256
Ho: 0.744 0.256 0.000
Ho: 0.847 0.577 0.847
Ho: 0.847 0.847 0.577
Th: 0.500 0.500 0.500


#2
Material: Dy6Ho12Th
Method: DFT, GGA-PBE
State: optimized geometry

a b c (Å): 8.482 8.482 8.482
angles (deg): 88.66 88.66 88.66
Sites, in units of the cell vectors:
Dy: 0.188 0.755 0.590
Dy: 0.245 0.410 0.812
Dy: 0.410 0.812 0.245
Dy: 0.590 0.188 0.755
Dy: 0.755 0.590 0.188
Dy: 0.812 0.245 0.410
Ho: 0.043 0.939 0.274
Ho: 0.061 0.726 0.957
Ho: 0.151 0.491 0.289
Ho: 0.274 0.043 0.939
Ho: 0.289 0.151 0.491
Ho: 0.491 0.289 0.151
Ho: 0.509 0.711 0.849
Ho: 0.711 0.849 0.509
Ho: 0.726 0.957 0.061
Ho: 0.849 0.509 0.711
Ho: 0.939 0.274 0.043
Ho: 0.957 0.061 0.726
Th: 0.500 0.500 0.500


So which one wins? Going from most stable to least: #2, #1.


#1
Material: Dy7HoTh2
Method: DFT, GGA-PBE
State: optimized geometry

a b c (Å): 10.227 10.227 3.488
angles (deg): 90.00 90.00 108.52
Sites, in units of the cell vectors:
Dy: 0.000 0.000 0.000
Dy: 0.115 0.369 0.000
Dy: 0.168 0.832 0.500
Dy: 0.369 0.115 0.000
Dy: 0.631 0.885 0.000
Dy: 0.832 0.168 0.500
Dy: 0.885 0.631 0.000
Ho: 0.500 0.500 0.500
Th: 0.327 0.673 0.000
Th: 0.673 0.327 0.000


#2
Material: Dy7HoTh2
Method: DFT, GGA-PBE
State: optimized geometry

a b c (Å): 9.387 9.387 5.485
angles (deg): 90.00 90.00 124.86
Sites, in units of the cell vectors:
Dy: 0.000 0.000 0.000
Dy: 0.214 0.434 0.000
Dy: 0.293 0.707 0.500
Dy: 0.434 0.214 0.000
Dy: 0.566 0.786 0.000
Dy: 0.707 0.293 0.500
Dy: 0.786 0.566 0.000
Ho: 0.500 0.500 0.500
Th: 0.205 0.795 0.000
Th: 0.795 0.205 0.000


So which one wins? Going from most stable to least: #1, #2.


#1
Material: DyHo4Th2
Method: DFT, GGA-PBE
State: optimized geometry

a b c (Å): 9.227 9.227 9.227
angles (deg): 145.17 145.17 50.07
Sites, in units of the cell vectors:
Dy: 0.000 0.000 0.000
Ho: 0.000 0.500 0.500
Ho: 0.181 0.181 0.000
Ho: 0.500 0.000 0.500
Ho: 0.819 0.819 0.000
Th: 0.386 0.386 0.000
Th: 0.614 0.614 0.000


#2
Material: DyHo4Th2
Method: DFT, GGA-PBE
State: optimized geometry

a b c (Å): 3.468 8.476 8.693
angles (deg): 117.44 90.04 98.45
Sites, in units of the cell vectors:
Dy: 0.000 0.000 0.000
Ho: 0.045 0.552 0.717
Ho: 0.360 0.147 0.422
Ho: 0.640 0.853 0.578
Ho: 0.955 0.448 0.283
Th: 0.412 0.281 0.867
Th: 0.588 0.719 0.133


So which one wins? Going from most stable to least: #2, #1.


#1
Material: Dy8Ho2Th
Method: DFT, GGA-PBE
State: optimized geometry

a b c (Å): 8.339 8.339 5.359
angles (deg): 90.00 90.00 104.89
Sites, in units of the cell vectors:
Dy: 0.165 0.165 0.000
Dy: 0.203 0.468 0.500
Dy: 0.247 0.753 0.000
Dy: 0.468 0.203 0.500
Dy: 0.532 0.797 0.500
Dy: 0.753 0.247 0.000
Dy: 0.797 0.532 0.500
Dy: 0.835 0.835 0.000
Ho: 0.121 0.879 0.500
Ho: 0.879 0.121 0.500
Th: 0.500 0.500 0.000


#2
Material: Dy8Ho2Th
Method: DFT, GGA-PBE
State: optimized geometry

a b c (Å): 9.379 9.379 7.927
angles (deg): 104.67 104.67 30.99
Sites, in units of the cell vectors:
Dy: 0.045 0.045 0.232
Dy: 0.135 0.135 0.681
Dy: 0.319 0.319 0.592
Dy: 0.409 0.409 0.047
Dy: 0.591 0.591 0.953
Dy: 0.681 0.681 0.408
Dy: 0.865 0.865 0.319
Dy: 0.955 0.955 0.768
Ho: 0.228 0.228 0.136
Ho: 0.772 0.772 0.864
Th: 0.500 0.500 0.500


So which one wins? Going from most stable to least: #2, #1.


#1
Material: Dy3Ho6Th
Method: DFT, GGA-PBE
State: optimized geometry

a b c (Å): 12.932 3.503 14.190
angles (deg): 90.00 100.46 90.00
Sites, in units of the cell vectors:
Dy: 0.076 0.250 0.100
Dy: 0.374 0.750 0.498
Dy: 0.422 0.250 0.903
Dy: 0.578 0.750 0.097
Dy: 0.626 0.250 0.502
Dy: 0.924 0.750 0.900
Ho: 0.122 0.250 0.485
Ho: 0.191 0.750 0.922
Ho: 0.222 0.750 0.286
Ho: 0.272 0.750 0.700
Ho: 0.346 0.250 0.120
Ho: 0.499 0.750 0.309
Ho: 0.501 0.250 0.691
Ho: 0.654 0.750 0.880
Ho: 0.728 0.250 0.300
Ho: 0.778 0.250 0.714
Ho: 0.809 0.250 0.078
Ho: 0.878 0.750 0.515
Th: 0.040 0.250 0.723
Th: 0.960 0.750 0.277


#2
Material: Dy3Ho6Th
Method: DFT, GGA-PBE
State: optimized geometry

a b c (Å): 6.866 6.866 6.866
angles (deg): 90.73 90.73 90.73
Sites, in units of the cell vectors:
Dy: 0.000 0.000 0.000
Dy: 0.242 0.242 0.242
Dy: 0.758 0.758 0.758
Ho: 0.000 0.666 0.334
Ho: 0.169 0.500 0.831
Ho: 0.334 0.000 0.666
Ho: 0.500 0.831 0.169
Ho: 0.666 0.334 0.000
Ho: 0.831 0.169 0.500
Th: 0.500 0.500 0.500


So which one wins? Going from most stable to least: #1, #2.


#1
Material: DyHo8Th2
Method: DFT, GGA-PBE
State: optimized geometry

a b c (Å): 10.031 10.031 5.560
angles (deg): 91.97 91.97 40.81
Sites, in units of the cell vectors:
Dy: 0.000 0.000 0.000
Ho: 0.139 0.599 0.262
Ho: 0.182 0.182 0.233
Ho: 0.401 0.861 0.738
Ho: 0.453 0.453 0.762
Ho: 0.547 0.547 0.238
Ho: 0.599 0.139 0.262
Ho: 0.818 0.818 0.767
Ho: 0.861 0.401 0.738
Th: 0.282 0.282 0.739
Th: 0.718 0.718 0.261


#2
Material: DyHo8Th2
Method: DFT, GGA-PBE
State: optimized geometry

a b c (Å): 8.949 8.949 6.604
angles (deg): 99.10 99.10 42.99
Sites, in units of the cell vectors:
Dy: 0.000 0.000 0.000
Ho: 0.174 0.653 0.596
Ho: 0.199 0.199 0.816
Ho: 0.347 0.826 0.404
Ho: 0.410 0.410 0.097
Ho: 0.590 0.590 0.903
Ho: 0.653 0.174 0.596
Ho: 0.801 0.801 0.184
Ho: 0.826 0.347 0.404
Th: 0.247 0.247 0.335
Th: 0.753 0.753 0.665


So which one wins? Going from most stable to least: #2, #1.


#1
Material: Dy2Ho12Th5
Method: DFT, GGA-PBE
State: optimized geometry

a b c (Å): 9.943 9.943 10.182
angles (deg): 111.59 111.59 41.37
Sites, in units of the cell vectors:
Dy: 0.216 0.784 0.000
Dy: 0.784 0.216 0.000
Ho: 0.004 0.004 0.324
Ho: 0.085 0.582 0.483
Ho: 0.096 0.589 0.137
Ho: 0.411 0.904 0.863
Ho: 0.418 0.915 0.517
Ho: 0.472 0.472 0.762
Ho: 0.528 0.528 0.238
Ho: 0.582 0.085 0.483
Ho: 0.589 0.096 0.137
Ho: 0.904 0.411 0.863
Ho: 0.915 0.418 0.517
Ho: 0.996 0.996 0.676
Th: 0.178 0.178 0.210
Th: 0.314 0.314 0.820
Th: 0.500 0.500 0.500
Th: 0.686 0.686 0.180
Th: 0.822 0.822 0.790


#2
Material: Dy2Ho12Th5
Method: DFT, GGA-PBE
State: optimized geometry

a b c (Å): 9.195 9.195 7.831
angles (deg): 91.06 91.06 68.22
Sites, in units of the cell vectors:
Dy: 0.239 0.761 0.000
Dy: 0.761 0.239 0.000
Ho: 0.051 0.051 0.706
Ho: 0.072 0.543 0.203
Ho: 0.115 0.668 0.609
Ho: 0.332 0.885 0.391
Ho: 0.361 0.361 0.889
Ho: 0.457 0.928 0.797
Ho: 0.543 0.072 0.203
Ho: 0.639 0.639 0.111
Ho: 0.668 0.115 0.609
Ho: 0.885 0.332 0.391
Ho: 0.928 0.457 0.797
Ho: 0.949 0.949 0.294
Th: 0.155 0.155 0.084
Th: 0.260 0.260 0.512
Th: 0.500 0.500 0.500
Th: 0.740 0.740 0.488
Th: 0.845 0.845 0.916


So which one wins? Going from most stable to least: #2, #1.